A plane-wave DFT calculation with GGA-PBE was carried out for CsKCuBr3 after structural relaxation.

Calculated values
The space group is No. 12. As for the uncorrected formation energy: -1.193 eV per atom.

Unit cell a=9.075 b=9.075 c=9.593 alpha=104.86 beta=104.86 gamma=36.67
Sites, in units of the cell vectors:
1 Cs 0.144 0.144 0.070
2 Cs 0.856 0.856 0.930
3 K 0.142 0.142 0.570
4 K 0.858 0.858 0.430
5 Cu 0.494 0.494 0.728
6 Cu 0.506 0.506 0.272
7 Br 0.002 0.002 0.272
8 Br 0.350 0.350 0.661
9 Br 0.361 0.361 0.198
10 Br 0.639 0.639 0.802
11 Br 0.650 0.650 0.339
12 Br 0.998 0.998 0.728